[1]
First-principles (GGA-PBE) data for BaP4Ir8 after structural relaxation, as listed in the Open Quantum Materials Database.

Uncorrected energy   -201.67 eV per cell

```
data_BaP4Ir8
_chemical_formula_sum 'Ba2 P8 Ir16'
_cell_length_a 10.458
_cell_length_b 10.458
_cell_length_c 3.996
_cell_angle_alpha 90.00
_cell_angle_beta 90.00
_cell_angle_gamma 90.00
_space_group_name_H-M_alt 'I 4/m'
_space_group_IT_number 87
_space_group_name_Hall '-I 4'
loop_
_atom_site_label
_atom_site_type_symbol
_atom_site_fract_x
_atom_site_fract_y
_atom_site_fract_z
Ba1 Ba 0.000 0.000 0.000
P1 P 0.060 0.736 0.500
Ir1 Ir 0.014 0.365 0.000
Ir2 Ir 0.161 0.248 0.500
```


[2]
First-principles (GGA-PBE) data for ErGa2Pd2 after structural relaxation, as listed in the Open Quantum Materials Database.

Uncorrected energy   -49.49 eV per cell

```
data_ErGa2Pd2
_chemical_formula_sum 'Er2 Ga4 Pd4'
_cell_length_a 4.211
_cell_length_b 4.211
_cell_length_c 10.413
_cell_angle_alpha 90.00
_cell_angle_beta 90.00
_cell_angle_gamma 90.00
_space_group_name_H-M_alt 'I 4/m m m'
_space_group_IT_number 139
_space_group_name_Hall '-I 4 2'
loop_
_atom_site_label
_atom_site_type_symbol
_atom_site_fract_x
_atom_site_fract_y
_atom_site_fract_z
Er1 Er 0.000 0.000 0.000
Ga1 Ga 0.000 0.000 0.382
Pd1 Pd 0.000 0.500 0.250
```


[3]
First-principles (GGA-PBE) data for NdMgCuTeS2 after structural relaxation, as listed in the Open Quantum Materials Database.

Uncorrected energy   -112.39 eV per cell

```
data_NdMgCuTeS2
_chemical_formula_sum 'Nd4 Mg4 Cu4 Te4 S8'
_cell_length_a 3.870
_cell_length_b 13.228
_cell_length_c 11.120
_cell_angle_alpha 90.00
_cell_angle_beta 90.00
_cell_angle_gamma 90.00
_space_group_name_H-M_alt 'C m c m'
_space_group_IT_number 63
_space_group_name_Hall '-C 2c 2'
loop_
_atom_site_label
_atom_site_type_symbol
_atom_site_fract_x
_atom_site_fract_y
_atom_site_fract_z
Nd1 Nd 0.000 0.000 0.000
Mg1 Mg 0.000 0.196 0.250
Cu1 Cu 0.000 0.482 0.750
Te1 Te 0.000 0.119 0.750
S1 S 0.000 0.365 0.594
```


[4]
First-principles (GGA-PBE) data for Cs2LiZrBr6 after structural relaxation, as listed in the Open Quantum Materials Database.

Uncorrected energy   -150.73 eV per cell

```
data_Cs2LiZrBr6
_chemical_formula_sum 'Cs8 Li4 Zr4 Br24'
_cell_length_a 11.001
_cell_length_b 11.001
_cell_length_c 11.001
_cell_angle_alpha 90.00
_cell_angle_beta 90.00
_cell_angle_gamma 90.00
_space_group_name_H-M_alt 'F m -3 m'
_space_group_IT_number 225
_space_group_name_Hall '-F 4 2 3'
loop_
_atom_site_label
_atom_site_type_symbol
_atom_site_fract_x
_atom_site_fract_y
_atom_site_fract_z
Cs1 Cs 0.250 0.250 0.250
Li1 Li 0.000 0.000 0.000
Zr1 Zr 0.000 0.000 0.500
Br1 Br 0.000 0.000 0.253
```


[5]
First-principles (GGA-PBE) data for RbFeAs after structural relaxation, as listed in the Open Quantum Materials Database.

Uncorrected energy   -37.72 eV per cell

```
data_RbFeAs
_chemical_formula_sum 'Rb4 Fe4 As4'
_cell_length_a 7.354
_cell_length_b 7.354
_cell_length_c 7.354
_cell_angle_alpha 90.00
_cell_angle_beta 90.00
_cell_angle_gamma 90.00
_space_group_name_H-M_alt 'F -4 3 m'
_space_group_IT_number 216
_space_group_name_Hall 'F -4 2 3'
loop_
_atom_site_label
_atom_site_type_symbol
_atom_site_fract_x
_atom_site_fract_y
_atom_site_fract_z
Rb1 Rb 0.000 0.000 0.000
Fe1 Fe 0.250 0.250 0.250
As1 As 0.250 0.250 0.750
```


[6]
First-principles (GGA-PBE) data for ErMgZn2 after structural relaxation, as listed in the Open Quantum Materials Database.

Uncorrected energy   -19.94 eV per cell

```
data_ErMgZn2
_chemical_formula_sum 'Er2 Mg2 Zn4'
_cell_length_a 4.788
_cell_length_b 4.788
_cell_length_c 6.759
_cell_angle_alpha 90.00
_cell_angle_beta 90.00
_cell_angle_gamma 90.00
_space_group_name_H-M_alt 'I 4/m m m'
_space_group_IT_number 139
_space_group_name_Hall '-I 4 2'
loop_
_atom_site_label
_atom_site_type_symbol
_atom_site_fract_x
_atom_site_fract_y
_atom_site_fract_z
Er1 Er 0.000 0.000 0.000
Mg1 Mg 0.000 0.000 0.500
Zn1 Zn 0.000 0.500 0.250
```


[7]
First-principles (GGA-PBE) data for RbGd2Ag3Te5 after structural relaxation, as listed in the Open Quantum Materials Database.

Uncorrected energy   -177.25 eV per cell

```
data_RbGd2Ag3Te5
_chemical_formula_sum 'Rb4 Gd8 Ag12 Te20'
_cell_length_a 4.578
_cell_length_b 16.182
_cell_length_c 18.460
_cell_angle_alpha 90.00
_cell_angle_beta 90.00
_cell_angle_gamma 90.00
_space_group_name_H-M_alt 'C m c m'
_space_group_IT_number 63
_space_group_name_Hall '-C 2c 2'
loop_
_atom_site_label
_atom_site_type_symbol
_atom_site_fract_x
_atom_site_fract_y
_atom_site_fract_z
Rb1 Rb 0.000 0.058 0.250
Gd1 Gd 0.000 0.190 0.594
Ag1 Ag 0.000 0.335 0.250
Ag2 Ag 0.000 0.413 0.529
Te1 Te 0.000 0.176 0.074
Te2 Te 0.000 0.262 0.750
Te3 Te 0.000 0.440 0.122
```


[8]
First-principles (GGA-PBE) data for Sc2AgAu after structural relaxation, as listed in the Open Quantum Materials Database.

Uncorrected energy   -41.95 eV per cell
Relative energy among the computed polymorphs   4 meV per atom
ΔH_f (0 K)   -0.557 eV per atom

```
data_Sc2AgAu
_chemical_formula_sum 'Sc4 Ag2 Au2'
_cell_length_a 4.852
_cell_length_b 6.641
_cell_length_c 4.899
_cell_angle_alpha 90.00
_cell_angle_beta 90.00
_cell_angle_gamma 90.00
_space_group_name_H-M_alt 'P m m n'
_space_group_IT_number 59
loop_
_space_group_symop_operation_xyz
'x,y,z'
'-x,-y,-z'
'-x+1/2,-y+1/2,z'
'x+1/2,y+1/2,-z'
'x+1/2,-y,-z'
'-x+1/2,y,z'
'-x,y+1/2,-z'
'x,-y+1/2,z'
loop_
_atom_site_label
_atom_site_type_symbol
_atom_site_fract_x
_atom_site_fract_y
_atom_site_fract_z
Sc1 Sc 0.250 0.000 0.239
Ag1 Ag 0.250 0.250 0.729
Au1 Au 0.250 0.750 0.730
```


What is the formula in the seventh record?
RbGd2Ag3Te5